(1)
TbPm6Pr3 | PBE | optimized geometry

* distance to the lowest polymorph of the same formula: 0 meV per atom
* DFT formation energy: 1.353 eV/f.u.
* total energy: -0.339 Ry/atom
* total magnetic moment: 0.0 Bohr magnetons per cell
* symmetry: Cmc2_1, No. 36

a = 11.167 Å, b = 11.167 Å, c = 6.512 Å
α = 90.00°, β = 90.00°, γ = 120.71°
Atoms (fractional coordinates):
Tb: 0.191 0.809 0.500
Tb: 0.809 0.191 0.000
Pm: 0.035 0.965 0.754
Pm: 0.058 0.475 0.243
Pm: 0.276 0.724 0.964
Pm: 0.287 0.372 0.057
Pm: 0.372 0.287 0.557
Pm: 0.475 0.058 0.743
Pm: 0.525 0.942 0.243
Pm: 0.628 0.713 0.057
Pm: 0.713 0.628 0.557
Pm: 0.724 0.276 0.464
Pm: 0.942 0.525 0.743
Pm: 0.965 0.035 0.254
Pr: 0.059 0.292 0.651
Pr: 0.292 0.059 0.151
Pr: 0.385 0.615 0.534
Pr: 0.615 0.385 0.034
Pr: 0.708 0.941 0.651
Pr: 0.941 0.708 0.151


(2)
TbPm7Pr3 | PBE | optimized geometry

* distance to the lowest polymorph of the same formula: 58 meV per atom
* DFT formation energy: 2.446 eV/f.u.
* total energy: -0.333 Ry/atom
* total magnetic moment: 0.0 Bohr magnetons per cell
* symmetry: C2/m, No. 12

a = 7.842 Å, b = 7.842 Å, c = 6.523 Å
α = 93.58°, β = 93.58°, γ = 81.89°
Atoms (fractional coordinates):
Tb: 0.000 0.000 0.000
Pm: 0.000 0.000 0.500
Pm: 0.071 0.415 0.761
Pm: 0.260 0.260 0.286
Pm: 0.415 0.071 0.761
Pm: 0.585 0.929 0.239
Pm: 0.740 0.740 0.714
Pm: 0.929 0.585 0.239
Pr: 0.327 0.673 0.500
Pr: 0.500 0.500 0.000
Pr: 0.673 0.327 0.500


(3)
Tb3Pm6Pr | PBE | optimized geometry

* distance to the lowest polymorph of the same formula: 19 meV per atom
* DFT formation energy: 1.419 eV/f.u.
* total energy: -0.336 Ry/atom
* total magnetic moment: 0.0 Bohr magnetons per cell
* symmetry: Cmc2_1, No. 36

a = 11.120 Å, b = 11.120 Å, c = 6.367 Å
α = 90.00°, β = 90.00°, γ = 120.44°
Atoms (fractional coordinates):
Tb: 0.116 0.884 0.500
Tb: 0.210 0.442 0.875
Tb: 0.442 0.210 0.375
Tb: 0.558 0.790 0.875
Tb: 0.790 0.558 0.375
Tb: 0.884 0.116 0.000
Pm: 0.027 0.445 0.286
Pm: 0.128 0.209 0.462
Pm: 0.209 0.128 0.962
Pm: 0.219 0.781 0.058
Pm: 0.445 0.027 0.786
Pm: 0.464 0.536 0.283
Pm: 0.536 0.464 0.783
Pm: 0.555 0.973 0.286
Pm: 0.781 0.219 0.558
Pm: 0.791 0.872 0.462
Pm: 0.872 0.791 0.962
Pm: 0.973 0.555 0.786
Pr: 0.307 0.693 0.520
Pr: 0.693 0.307 0.020


(4)
Tb3Pm2Pr7 | PBE | optimized geometry

* distance to the lowest polymorph of the same formula: 0 meV per atom
* DFT formation energy: 0.842 eV/f.u.
* total energy: -0.343 Ry/atom
* total magnetic moment: 0.0 Bohr magnetons per cell
* symmetry: P2/m, No. 10

a = 6.568 Å, b = 3.621 Å, c = 17.724 Å
α = 90.00°, β = 90.29°, γ = 90.00°
Atoms (fractional coordinates):
Tb: 0.000 0.000 0.000
Tb: 0.500 0.500 0.341
Tb: 0.500 0.500 0.659
Pm: 0.012 0.000 0.330
Pm: 0.988 0.000 0.670
Pr: 0.179 0.500 0.166
Pr: 0.259 0.000 0.505
Pr: 0.323 0.000 0.830
Pr: 0.500 0.500 0.000
Pr: 0.677 0.000 0.170
Pr: 0.741 0.000 0.495
Pr: 0.821 0.500 0.834


(5)
TbPm4Pr15 | PBE | optimized geometry

* DFT formation energy: 0.253 eV/f.u.
* total energy: -0.349 Ry/atom
* total magnetic moment: 0.0 Bohr magnetons per cell
* symmetry: P4/mmm, No. 123

a = 5.232 Å, b = 5.232 Å, c = 26.066 Å
α = 90.00°, β = 90.00°, γ = 90.00°
Atoms (fractional coordinates):
Tb: 0.000 0.000 0.000
Pm: 0.000 0.000 0.199
Pm: 0.000 0.000 0.400
Pm: 0.000 0.000 0.600
Pm: 0.000 0.000 0.801
Pr: 0.000 0.500 0.099
Pr: 0.000 0.500 0.300
Pr: 0.000 0.500 0.500
Pr: 0.000 0.500 0.700
Pr: 0.000 0.500 0.901
Pr: 0.500 0.000 0.099
Pr: 0.500 0.000 0.300
Pr: 0.500 0.000 0.500
Pr: 0.500 0.000 0.700
Pr: 0.500 0.000 0.901
Pr: 0.500 0.500 0.000
Pr: 0.500 0.500 0.199
Pr: 0.500 0.500 0.400
Pr: 0.500 0.500 0.600
Pr: 0.500 0.500 0.801


(6)
TbPm6Pr5 | PBE | optimized geometry

* DFT formation energy: 0.159 eV/f.u.
* total energy: -0.348 Ry/atom
* total magnetic moment: 0.0 Bohr magnetons per cell
* symmetry: C2/m, No. 12

a = 6.360 Å, b = 6.360 Å, c = 12.174 Å
α = 95.03°, β = 95.03°, γ = 120.00°
Atoms (fractional coordinates):
Tb: 0.000 0.000 0.000
Pm: 0.083 0.415 0.249
Pm: 0.250 0.250 0.751
Pm: 0.415 0.083 0.249
Pm: 0.585 0.917 0.751
Pm: 0.750 0.750 0.249
Pm: 0.917 0.585 0.751
Pr: 0.166 0.834 0.500
Pr: 0.333 0.667 0.000
Pr: 0.500 0.500 0.500
Pr: 0.667 0.333 0.000
Pr: 0.834 0.166 0.500


(7)
TbPm5Pr2 | PBE | optimized geometry

* distance to the lowest polymorph of the same formula: 134 meV per atom
* DFT formation energy: 1.181 eV/f.u.
* total energy: -0.338 Ry/atom
* total magnetic moment: 0.0 Bohr magnetons per cell
* symmetry: C2/c, No. 15

a = 9.757 Å, b = 9.757 Å, c = 6.677 Å
α = 98.98°, β = 98.98°, γ = 62.98°
Atoms (fractional coordinates):
Tb: 0.000 0.500 0.000
Tb: 0.500 0.000 0.500
Pm: 0.063 0.937 0.250
Pm: 0.119 0.288 0.527
Pm: 0.288 0.119 0.027
Pm: 0.313 0.492 0.345
Pm: 0.492 0.313 0.845
Pm: 0.508 0.687 0.155
Pm: 0.687 0.508 0.655
Pm: 0.712 0.881 0.973
Pm: 0.881 0.712 0.473
Pm: 0.937 0.063 0.750
Pr: 0.175 0.660 0.866
Pr: 0.340 0.825 0.634
Pr: 0.660 0.175 0.366
Pr: 0.825 0.340 0.134


(8)
Tb4Pm2Pr | PBE | optimized geometry

* distance to the lowest polymorph of the same formula: 67 meV per atom
* DFT formation energy: 2.203 eV/f.u.
* total energy: -0.321 Ry/atom
* total magnetic moment: 0.7 Bohr magnetons per cell
* symmetry: P2/m, No. 10

a = 7.811 Å, b = 7.814 Å, c = 8.162 Å
α = 90.00°, β = 90.24°, γ = 90.00°
Atoms (fractional coordinates):
Tb: 0.249 0.247 0.219
Tb: 0.249 0.753 0.219
Tb: 0.251 0.249 0.781
Tb: 0.251 0.751 0.781
Tb: 0.749 0.249 0.219
Tb: 0.749 0.751 0.219
Tb: 0.751 0.247 0.781
Tb: 0.751 0.753 0.781
Pm: 0.000 0.000 0.500
Pm: 0.500 0.000 0.000
Pm: 0.500 0.000 0.500
Pm: 0.500 0.500 0.500
Pr: 0.000 0.500 0.000
Pr: 0.000 0.500 0.500


(9)
Tb2PmPr7 | PBE | optimized geometry

* distance to the lowest polymorph of the same formula: 262 meV per atom
* DFT formation energy: 6.215 eV/f.u.
* total energy: -0.303 Ry/atom
* total magnetic moment: 0.0 Bohr magnetons per cell
* symmetry: Cmmm, No. 65

a = 9.385 Å, b = 9.385 Å, c = 5.745 Å
α = 90.00°, β = 90.00°, γ = 122.81°
Atoms (fractional coordinates):
Tb: 0.204 0.796 0.000
Tb: 0.796 0.204 0.000
Pm: 0.500 0.500 0.500
Pr: 0.000 0.000 0.000
Pr: 0.205 0.435 0.000
Pr: 0.274 0.726 0.500
Pr: 0.435 0.205 0.000
Pr: 0.565 0.795 0.000
Pr: 0.726 0.274 0.500
Pr: 0.795 0.565 0.000


(10)
Tb3Pm2Pr3 | PBE | optimized geometry

* distance to the lowest polymorph of the same formula: 124 meV per atom
* DFT formation energy: 1.126 eV/f.u.
* total energy: -0.336 Ry/atom
* total magnetic moment: 0.0 Bohr magnetons per cell
* symmetry: Cmcm, No. 63

a = 8.740 Å, b = 8.740 Å, c = 18.039 Å
α = 90.00°, β = 90.00°, γ = 156.40°
Atoms (fractional coordinates):
Tb: 0.016 0.984 0.597
Tb: 0.016 0.984 0.903
Tb: 0.375 0.625 0.750
Tb: 0.625 0.375 0.250
Tb: 0.984 0.016 0.097
Tb: 0.984 0.016 0.403
Pm: 0.277 0.723 0.150
Pm: 0.277 0.723 0.350
Pm: 0.723 0.277 0.650
Pm: 0.723 0.277 0.850
Pr: 0.349 0.651 0.528
Pr: 0.349 0.651 0.972
Pr: 0.435 0.565 0.250
Pr: 0.565 0.435 0.750
Pr: 0.651 0.349 0.028
Pr: 0.651 0.349 0.472


(11)
Tb7PmPr2 | PBE | optimized geometry

* distance to the lowest polymorph of the same formula: 0 meV per atom
* DFT formation energy: 0.490 eV/f.u.
* total energy: -0.340 Ry/atom
* total magnetic moment: 0.0 Bohr magnetons per cell
* symmetry: C2/m, No. 12

a = 8.849 Å, b = 8.849 Å, c = 7.073 Å
α = 101.62°, β = 101.62°, γ = 37.65°
Atoms (fractional coordinates):
Tb: 0.000 0.000 0.000
Tb: 0.210 0.210 0.858
Tb: 0.400 0.400 0.703
Tb: 0.403 0.403 0.197
Tb: 0.597 0.597 0.803
Tb: 0.600 0.600 0.297
Tb: 0.790 0.790 0.142
Pm: 0.000 0.000 0.500
Pr: 0.213 0.213 0.352
Pr: 0.787 0.787 0.648


(12)
TbPm7Pr4 | PBE | optimized geometry

* distance to the lowest polymorph of the same formula: 225 meV per atom
* DFT formation energy: 2.859 eV/f.u.
* total energy: -0.332 Ry/atom
* total magnetic moment: 0.0 Bohr magnetons per cell
* symmetry: C2/m, No. 12

a = 6.828 Å, b = 6.828 Å, c = 13.021 Å
α = 114.45°, β = 114.45°, γ = 53.12°
Atoms (fractional coordinates):
Tb: 0.000 0.000 0.000
Pm: 0.133 0.133 0.502
Pm: 0.248 0.248 0.315
Pm: 0.289 0.289 0.078
Pm: 0.500 0.500 0.000
Pm: 0.711 0.711 0.922
Pm: 0.752 0.752 0.685
Pm: 0.867 0.867 0.498
Pr: 0.137 0.137 0.778
Pr: 0.442 0.442 0.671
Pr: 0.558 0.558 0.329
Pr: 0.863 0.863 0.222